(1)
# CaMgMo2 | Alexandria via LeMat-Bulk | GGA-PBE | optimized geometry
data_CaMgMo2
_chemical_formula_sum 'Ca1 Mg1 Mo2'
_cell_length_a 3.647
_cell_length_b 3.647
_cell_length_c 6.621
_cell_angle_alpha 90.00
_cell_angle_beta 90.00
_cell_angle_gamma 90.00
_symmetry_space_group_name_H-M 'P 1'
_symmetry_Int_Tables_number 1
_symmetry_space_group_name_Hall 'P 1'
loop_
_atom_site_label
_atom_site_type_symbol
_atom_site_fract_x
_atom_site_fract_y
_atom_site_fract_z
_atom_site_occupancy
Ca1 Ca 0.000 0.000 0.000 1
Mg1 Mg 0.000 0.000 0.500 1
Mo1 Mo 0.500 0.500 0.333 1
Mo2 Mo 0.500 0.500 0.667 1
# - Energy: -22.60 eV/cell
# - Formation energy: 0.66 eV/atom

(2)
# CaMg2Mo | Alexandria via LeMat-Bulk | GGA-PBE | optimized geometry
data_CaMg2Mo
_chemical_formula_sum 'Ca2 Mg4 Mo2'
_cell_length_a 11.310
_cell_length_b 3.045
_cell_length_c 5.467
_cell_angle_alpha 90.00
_cell_angle_beta 111.81
_cell_angle_gamma 90.00
_symmetry_space_group_name_H-M 'P 1'
_symmetry_Int_Tables_number 1
_symmetry_space_group_name_Hall 'P 1'
loop_
_atom_site_label
_atom_site_type_symbol
_atom_site_fract_x
_atom_site_fract_y
_atom_site_fract_z
_atom_site_occupancy
Ca1 Ca 0.000 0.000 0.000 1
Ca2 Ca 0.500 0.500 0.000 1
Mg1 Mg 0.033 0.500 0.530 1
Mg2 Mg 0.274 0.500 0.370 1
Mg3 Mg 0.533 0.000 0.530 1
Mg4 Mg 0.774 0.000 0.370 1
Mo1 Mo 0.245 0.000 0.849 1
Mo2 Mo 0.745 0.500 0.849 1
# - Energy: -28.28 eV/cell
# - Formation energy: 0.47 eV/atom

(3)
# Ca2MgMo | Alexandria via LeMat-Bulk | GGA-PBE | optimized geometry
data_Ca2MgMo
_chemical_formula_sum 'Ca6 Mg3 Mo3'
_cell_length_a 3.268
_cell_length_b 3.268
_cell_length_c 33.050
_cell_angle_alpha 90.00
_cell_angle_beta 90.00
_cell_angle_gamma 120.00
_symmetry_space_group_name_H-M 'P 1'
_symmetry_Int_Tables_number 1
_symmetry_space_group_name_Hall 'P 1'
loop_
_atom_site_label
_atom_site_type_symbol
_atom_site_fract_x
_atom_site_fract_y
_atom_site_fract_z
_atom_site_occupancy
Ca1 Ca 0.000 0.000 0.240 1
Ca2 Ca 0.000 0.000 0.760 1
Ca3 Ca 0.333 0.667 0.426 1
Ca4 Ca 0.333 0.667 0.907 1
Ca5 Ca 0.667 0.333 0.093 1
Ca6 Ca 0.667 0.333 0.574 1
Mg1 Mg 0.000 0.000 0.000 1
Mg2 Mg 0.333 0.667 0.667 1
Mg3 Mg 0.667 0.333 0.333 1
Mo1 Mo 0.000 0.000 0.500 1
Mo2 Mo 0.333 0.667 0.167 1
Mo3 Mo 0.667 0.333 0.833 1
# - Energy: -42.02 eV/cell
# - Formation energy: 0.61 eV/atom

(4)
# CaMgMo2 | Alexandria via LeMat-Bulk | GGA-PBE | optimized geometry
data_CaMgMo2
_chemical_formula_sum 'Ca1 Mg1 Mo2'
_cell_length_a 2.764
_cell_length_b 2.764
_cell_length_c 9.817
_cell_angle_alpha 90.00
_cell_angle_beta 90.00
_cell_angle_gamma 90.00
_symmetry_space_group_name_H-M 'P 1'
_symmetry_Int_Tables_number 1
_symmetry_space_group_name_Hall 'P 1'
loop_
_atom_site_label
_atom_site_type_symbol
_atom_site_fract_x
_atom_site_fract_y
_atom_site_fract_z
_atom_site_occupancy
Ca1 Ca 0.000 0.000 0.000 1
Mg1 Mg 0.000 0.000 0.500 1
Mo1 Mo 0.500 0.500 0.268 1
Mo2 Mo 0.500 0.500 0.732 1
# - Energy: -22.86 eV/cell
# - Formation energy: 0.60 eV/atom

(5)
# CaMgMo2 | Alexandria via LeMat-Bulk | GGA-PBE | optimized geometry
data_CaMgMo2
_chemical_formula_sum 'Ca1 Mg1 Mo2'
_cell_length_a 2.748
_cell_length_b 5.095
_cell_length_c 5.596
_cell_angle_alpha 90.00
_cell_angle_beta 102.67
_cell_angle_gamma 90.00
_symmetry_space_group_name_H-M 'P 1'
_symmetry_Int_Tables_number 1
_symmetry_space_group_name_Hall 'P 1'
loop_
_atom_site_label
_atom_site_type_symbol
_atom_site_fract_x
_atom_site_fract_y
_atom_site_fract_z
_atom_site_occupancy
Ca1 Ca 0.000 0.000 0.000 1
Mg1 Mg 0.500 0.000 0.500 1
Mo1 Mo 0.302 0.500 0.764 1
Mo2 Mo 0.698 0.500 0.236 1
# - Energy: -22.74 eV/cell
# - Formation energy: 0.63 eV/atom

(6)
# Ca2MgMo | Alexandria via LeMat-Bulk | GGA-PBE | optimized geometry
data_Ca2MgMo
_chemical_formula_sum 'Ca2 Mg1 Mo1'
_cell_length_a 3.604
_cell_length_b 3.604
_cell_length_c 8.495
_cell_angle_alpha 90.00
_cell_angle_beta 90.00
_cell_angle_gamma 90.00
_symmetry_space_group_name_H-M 'P 1'
_symmetry_Int_Tables_number 1
_symmetry_space_group_name_Hall 'P 1'
loop_
_atom_site_label
_atom_site_type_symbol
_atom_site_fract_x
_atom_site_fract_y
_atom_site_fract_z
_atom_site_occupancy
Ca1 Ca 0.000 0.000 0.000 1
Ca2 Ca 0.500 0.500 0.364 1
Mg1 Mg 0.000 0.000 0.619 1
Mo1 Mo 0.500 0.500 0.767 1
# - Energy: -14.39 eV/cell
# - Formation energy: 0.51 eV/atom

(7)
# CaMgMo2 | Alexandria via LeMat-Bulk | GGA-PBE | optimized geometry
data_CaMgMo2
_chemical_formula_sum 'Ca1 Mg1 Mo2'
_cell_length_a 3.308
_cell_length_b 3.308
_cell_length_c 7.816
_cell_angle_alpha 90.00
_cell_angle_beta 90.00
_cell_angle_gamma 90.00
_symmetry_space_group_name_H-M 'P 1'
_symmetry_Int_Tables_number 1
_symmetry_space_group_name_Hall 'P 1'
loop_
_atom_site_label
_atom_site_type_symbol
_atom_site_fract_x
_atom_site_fract_y
_atom_site_fract_z
_atom_site_occupancy
Ca1 Ca 0.000 0.000 0.000 1
Mg1 Mg 0.500 0.500 0.333 1
Mo1 Mo 0.000 0.000 0.566 1
Mo2 Mo 0.500 0.500 0.716 1
# - Energy: -24.14 eV/cell
# - Formation energy: 0.28 eV/atom

(8)
# CaMg2MoN4 | Alexandria via LeMat-Bulk | GGA-PBE | optimized geometry
data_CaMg2MoN4
_chemical_formula_sum 'Ca2 Mg4 Mo2 N8'
_cell_length_a 7.210
_cell_length_b 5.905
_cell_length_c 5.379
_cell_angle_alpha 90.00
_cell_angle_beta 90.00
_cell_angle_gamma 90.00
_symmetry_space_group_name_H-M 'P 1'
_symmetry_Int_Tables_number 1
_symmetry_space_group_name_Hall 'P 1'
loop_
_atom_site_label
_atom_site_type_symbol
_atom_site_fract_x
_atom_site_fract_y
_atom_site_fract_z
_atom_site_occupancy
Ca1 Ca 0.000 0.164 0.000 1
Ca2 Ca 0.500 0.836 0.500 1
Mg1 Mg 0.246 0.331 0.516 1
Mg2 Mg 0.254 0.669 0.016 1
Mg3 Mg 0.746 0.669 0.016 1
Mg4 Mg 0.754 0.331 0.516 1
Mo1 Mo 0.000 0.813 0.526 1
Mo2 Mo 0.500 0.187 0.026 1
N1 N 0.000 0.132 0.459 1
N2 N 0.000 0.784 0.872 1
N3 N 0.213 0.669 0.405 1
N4 N 0.287 0.331 0.905 1
N5 N 0.500 0.216 0.372 1
N6 N 0.500 0.868 0.959 1
N7 N 0.713 0.331 0.905 1
N8 N 0.787 0.669 0.405 1
# - Energy: -112.74 eV/cell
# - Raw formation energy: -0.8810 eV/atom

> Number 8 is which compound?

CaMg2MoN4